(1)
MgAl4Mo GGA-PBE relaxed; energy relative to the elements = -0.070 eV/atom; SG = F-43m
1.0
0.0000 3.6421 3.6421
3.6421 0.0000 3.6421
3.6421 3.6421 0.0000
Mg Al Mo
1 4 1
direct
0.0000 0.0000 0.0000
0.3749 0.3749 0.3749
0.3749 0.3749 0.8752
0.3749 0.8752 0.3749
0.8752 0.3749 0.3749
0.7500 0.7500 0.7500

=====

(2)
Al3TlHg3 GGA-PBE relaxed; energy relative to the elements = 0.344 eV/atom; SG = Pm-3n
1.0
7.4976 0.0000 0.0000
0.0000 7.4976 0.0000
0.0000 0.0000 7.4976
Al Tl Hg
6 2 6
direct
0.0000 0.2500 0.5000
0.0000 0.7500 0.5000
0.2500 0.5000 0.0000
0.5000 0.0000 0.2500
0.5000 0.0000 0.7500
0.7500 0.5000 0.0000
0.0000 0.0000 0.0000
0.5000 0.5000 0.5000
0.0000 0.5000 0.2500
0.0000 0.5000 0.7500
0.2500 0.0000 0.5000
0.5000 0.2500 0.0000
0.5000 0.7500 0.0000
0.7500 0.0000 0.5000

=====

(3)
Ac2DyF GGA-PBE relaxed; SG = R-3m
1.0
1.9388 1.1194 10.2198
-1.9388 1.1194 10.2198
0.0000 -2.2388 10.2198
Ac Dy F
2 1 1
direct
0.1130 0.1130 0.1130
0.8870 0.8870 0.8870
0.0000 0.0000 0.0000
0.5000 0.5000 0.5000

=====

(4)
TaAg2WN GGA-PBE relaxed; SG = P4/mmm
1.0
5.1634 0.0000 0.0000
0.0000 5.1634 0.0000
0.0000 0.0000 3.7466
Ta Ag W N
1 2 1 1
direct
0.0000 0.0000 0.0000
0.0000 0.5000 0.5000
0.5000 0.0000 0.5000
0.5000 0.5000 0.5000
0.5000 0.5000 0.0000

=====

(5)
TaMnTc2 GGA-PBE relaxed; energy relative to the elements = 0.087 eV/atom; SG = Cmm2
1.0
1.5882 -2.2136 0.0000
1.5882 2.2136 0.0000
0.0000 0.0000 8.4576
Ta Mn Tc
1 1 2
direct
0.0000 0.0000 0.0000
0.5000 0.5000 0.7485
0.0000 0.0000 0.5219
0.5000 0.5000 0.2651

=====

(6)
CrC2 GGA-PBE relaxed; energy relative to the elements = 0.875 eV/atom; SG = Cmcm; energy above the lowest structure with this stoichiometry = 380 meV per atom
1.0
2.4121 -2.9500 0.0000
2.4121 2.9500 0.0000
0.0000 0.0000 4.0655
Cr C
2 4
direct
0.1379 0.8621 0.7500
0.8621 0.1379 0.2500
0.0598 0.6576 0.2500
0.3424 0.9402 0.2500
0.6576 0.0598 0.7500
0.9402 0.3424 0.7500

=====

Number 1: electronic total energy -4.6363 eV per atom. Number 2: electronic total energy -1.7276 eV per atom. Number 3: electronic total energy -4.5121 eV per atom. Number 4: electronic total energy -6.3588 eV per atom. Number 5: electronic total energy -10.3515 eV per atom. Number 6: electronic total energy -8.4821 eV per atom.